[1]
A plane-wave DFT calculation with PBE-GGA was carried out for an optimized crystal structure of RbAgPb.

Cell: 5.083 5.083 4.887 Å, 90.00 90.00 120.00°
Element x y z (fractional)
Rb 0.000 0.000 0.000
Ag 0.667 0.333 0.500
Pb 0.333 0.667 0.500

Properties
Polymorph energy (0 for the lowest one) = 0.17 eV per formula unit
Formation energy from the elements = 66 meV per atom
Final energy = -7.328 eV for the cell shown


[2]
A plane-wave DFT calculation with PBE-GGA was carried out for an optimized crystal structure of Cs2Cd2Cl7.

Cell: 9.087 9.087 5.517 Å, 98.88 98.88 121.89°
Element x y z (fractional)
Cs 0.168 0.832 0.000
Cs 0.832 0.168 0.000
Cd 0.328 0.328 0.667
Cd 0.672 0.672 0.333
Cl 0.000 0.000 0.500
Cl 0.130 0.443 0.644
Cl 0.352 0.352 0.176
Cl 0.443 0.130 0.644
Cl 0.557 0.870 0.356
Cl 0.648 0.648 0.824
Cl 0.870 0.557 0.356

Properties
Polymorph energy (0 for the lowest one) = 0.00 eV per formula unit
Formation energy without anion corrections = -28.894 kcal/mol of atoms
Final energy = -30.246 eV for the cell shown


[3]
A plane-wave DFT calculation with PBE-GGA was carried out for an optimized crystal structure of La5UN6.

Cell: 6.373 6.373 6.350 Å, 99.56 99.56 119.99°
Element x y z (fractional)
La 0.000 0.000 0.000
La 0.167 0.833 0.500
La 0.335 0.665 0.000
La 0.665 0.335 0.000
La 0.833 0.167 0.500
U 0.500 0.500 0.500
N 0.137 0.426 0.279
N 0.282 0.282 0.731
N 0.426 0.137 0.279
N 0.574 0.863 0.721
N 0.718 0.718 0.269
N 0.863 0.574 0.721

Properties
Formation energy without anion corrections = -32.367 kcal/mol of atoms
Final energy = -102.720 eV for the cell shown